SrCu2Ru | PBEsol | relaxed

Cell and atoms, written as POSCAR:
```
SrCu2Ru
1.0
3.956 0.000 0.000
0.000 3.956 0.000
-1.978 -1.978 4.214
Cu Ru Sr
2 1 1
direct
0.000 0.000 0.000
0.750 0.250 0.500
0.500 0.500 0.000
0.250 0.750 0.500
```

Calculated volume ... 65.9 Å³/cell
Space group ... No. 119
ΔE_f ... 0.639 eV per atom